Entry 1:
NbGa2PbF: optimized geometry, PBE.

a = 5.060 Å, b = 5.578 Å, c = 5.060 Å
α = 90.00°, β = 90.00°, γ = 90.00°
Positions (direct):
Ga 0.000 0.000 0.500
Ga 0.500 0.000 0.000
F 0.500 0.500 0.500
Pb 0.000 0.500 0.000
Nb 0.000 0.000 0.000

Results
polymorph energy (0 for the lowest one): 0.000 eV per atom
total moment: 1.05 μB/f.u.
raw formation energy: 0.216 eV per atom

Entry 2:
NbGa2PbF: optimized geometry, PBE.

a = 5.489 Å, b = 4.400 Å, c = 5.489 Å
α = 90.00°, β = 90.00°, γ = 90.00°
Positions (direct):
Ga 0.000 0.000 0.500
Ga 0.500 0.000 0.000
Nb 0.500 0.500 0.500
Pb 0.000 0.000 0.000
F 0.000 0.500 0.000

Results
polymorph energy (0 for the lowest one): 0.329 eV per atom
total moment: 3.73 μB/f.u.
raw formation energy: 0.545 eV per atom

Entry 3:
Rb2NbGaF6: optimized geometry, PBE.

a = 6.508 Å, b = 6.508 Å, c = 6.509 Å
α = 60.00°, β = 60.00°, γ = 90.00°
Positions (direct):
Rb 0.750 0.250 0.500
Rb 0.250 0.750 0.500
F 0.229 0.771 0.000
F 0.771 0.771 0.000
F 0.771 0.229 0.000
F 0.229 0.229 0.000
F 0.229 0.229 0.541
F 0.771 0.771 0.459
Ga 0.500 0.500 0.000
Nb 0.000 0.000 0.000

Results
total moment: 2.00 μB/f.u.
raw formation energy: -2.479 eV per atom

Entry 4:
NbGaRu2F: optimized geometry, PBE.

a = 4.812 Å, b = 3.945 Å, c = 4.812 Å
α = 90.00°, β = 90.00°, γ = 90.00°
Positions (direct):
F 0.000 0.500 0.000
Nb 0.000 0.000 0.000
Ru 0.500 0.000 0.000
Ru 0.000 0.000 0.500
Ga 0.500 0.500 0.500

Results
total moment: 0.00 μB/f.u.
raw formation energy: 0.263 eV per atom

Entry 5:
NbGaSeF2: optimized geometry, PBE.

a = 4.284 Å, b = 5.249 Å, c = 4.284 Å
α = 90.00°, β = 90.00°, γ = 90.00°
Positions (direct):
F 0.500 0.000 0.000
F 0.000 0.000 0.500
Ga 0.500 0.500 0.500
Nb 0.000 0.000 0.000
Se 0.000 0.500 0.000

Results
total moment: 2.00 μB/f.u.
raw formation energy: -1.413 eV per atom

Entry 6:
Ta2NbGaF: optimized geometry, PBE.

a = 4.890 Å, b = 5.085 Å, c = 4.890 Å
α = 90.00°, β = 90.00°, γ = 90.00°
Positions (direct):
Ta 0.500 0.000 0.000
Ta 0.000 0.000 0.500
F 0.500 0.500 0.500
Ga 0.000 0.500 0.000
Nb 0.000 0.000 0.000

Results
total moment: 0.01 μB/f.u.
raw formation energy: 1.225 eV per atom

Entry 7:
Zr2NbGaF: optimized geometry, PBE.

a = 5.200 Å, b = 4.075 Å, c = 5.200 Å
α = 90.00°, β = 90.00°, γ = 90.00°
Positions (direct):
Zr 0.000 0.000 0.500
Zr 0.500 0.000 0.000
F 0.000 0.500 0.000
Nb 0.000 0.000 0.000
Ga 0.500 0.500 0.500

Results
total moment: 0.00 μB/f.u.
raw formation energy: 0.044 eV per atom

Entry 8:
Nd4Ga2F: optimized geometry, PBE.

a = 4.773 Å, b = 4.773 Å, c = 8.897 Å
α = 74.44°, β = 74.44°, γ = 90.00°
Positions (direct):
Nd 0.184 0.184 0.631
Nd 0.000 0.500 0.000
Nd 0.816 0.816 0.369
Nd 0.500 0.000 0.000
Ga 0.632 0.632 0.736
Ga 0.368 0.368 0.264
F 0.000 0.000 0.000

Results
total moment: 0.22 μB/f.u.
raw formation energy: -0.932 eV per atom

What is the formula in the first record?
NbGa2PbF